No. 1
Nd8Tl3Ga2 (PBE, relaxed); Fermi-level density of states = 1.24 states/eV/atom; energy of formation = -0.222 eV/atom
1.0
4.5753 -7.9882 0.0000
4.5753 7.9882 0.0000
0.0000 0.0000 5.5668
Nd Tl Ga
8 3 2
Direct
0.1102 0.8898 0.0000
0.1592 0.4115 0.5000
0.3103 0.6897 0.0000
0.4115 0.1592 0.5000
0.5885 0.8408 0.5000
0.6897 0.3103 0.0000
0.8408 0.5885 0.5000
0.8898 0.1102 0.0000
0.0000 0.0000 0.5000
0.3229 0.3229 0.0000
0.6771 0.6771 0.0000
0.2248 0.7752 0.5000
0.7752 0.2248 0.5000

***

No. 2
Nd4TlGa2 (PBE, relaxed); Fermi-level density of states = 1.07 states/eV/atom; energy of formation = -0.359 eV/atom
1.0
2.6285 1.5176 8.5064
-2.6285 1.5176 8.5064
0.0000 -3.0352 8.5064
Nd Tl Ga
4 1 2
Direct
0.1157 0.1157 0.1157
0.3688 0.3688 0.3688
0.6312 0.6312 0.6312
0.8843 0.8843 0.8843
0.5000 0.5000 0.5000
0.2489 0.2489 0.2489
0.7511 0.7511 0.7511

***

No. 3
Nd6TlGa2 (PBE, relaxed); Fermi-level density of states = 1.10 states/eV/atom; energy of formation = -0.235 eV/atom
1.0
6.6201 0.0000 0.0000
0.0000 8.6170 0.0000
-5.4220 0.0000 9.7271
Nd Tl Ga
12 2 4
Direct
0.0577 0.0530 0.2143
0.0577 0.4470 0.7143
0.1660 0.6987 0.0687
0.1660 0.8013 0.5687
0.4191 0.1480 0.0625
0.4191 0.3520 0.5625
0.5809 0.6480 0.4375
0.5809 0.8520 0.9375
0.8340 0.1987 0.4313
0.8340 0.3013 0.9313
0.9423 0.5530 0.2857
0.9423 0.9470 0.7857
0.5000 0.0000 0.5000
0.5000 0.5000 0.0000
0.3098 0.1248 0.7402
0.3098 0.3752 0.2402
0.6902 0.6248 0.7598
0.6902 0.8752 0.2598

***

No. 4
Nd6TlGa2 (PBE, relaxed); Fermi-level density of states = 0.98 states/eV/atom; energy of formation = -0.356 eV/atom
1.0
-5.0139 5.0502 5.4420
5.0139 -5.0502 5.4420
5.0139 5.0502 -5.4420
Nd Tl Ga
12 2 4
Direct
0.0376 0.2407 0.7969
0.1827 0.2798 0.4625
0.1827 0.7202 0.9029
0.3226 0.0286 0.7060
0.3226 0.6166 0.2940
0.4438 0.2407 0.2031
0.5562 0.7593 0.7969
0.6774 0.3834 0.7060
0.6774 0.9714 0.2940
0.8173 0.2798 0.0971
0.8173 0.7202 0.5375
0.9624 0.7593 0.2031
0.0000 0.0000 0.0000
0.5000 0.5000 0.0000
0.1199 0.6199 0.5000
0.3579 0.0000 0.3579
0.6421 0.0000 0.6421
0.8801 0.3801 0.5000

***

No. 5
Nd3TlGa (PBE, relaxed); Fermi-level density of states = 1.08 states/eV/atom; energy of formation = -0.225 eV/atom
1.0
2.2481 -6.7098 0.0000
2.2481 6.7098 0.0000
0.0000 0.0000 10.9447
Nd Tl Ga
6 2 2
Direct
0.1141 0.8859 0.7500
0.3420 0.6580 0.5714
0.3420 0.6580 0.9286
0.6580 0.3420 0.0714
0.6580 0.3420 0.4286
0.8859 0.1141 0.2500
0.0000 0.0000 0.0000
0.0000 0.0000 0.5000
0.2279 0.7721 0.2500
0.7721 0.2279 0.7500

***

No. 6
Nd5Tl3Ga (PBE, relaxed); Fermi-level density of states = 1.04 states/eV/atom; energy of formation = -0.392 eV/atom
1.0
9.6262 0.0000 0.0000
-4.8131 8.3365 0.0000
0.0000 0.0000 6.7118
Nd Tl Ga
10 6 2
Direct
0.0000 0.2703 0.2500
0.0000 0.7297 0.7500
0.2703 0.0000 0.2500
0.2703 0.2703 0.7500
0.3333 0.6667 0.0000
0.3333 0.6667 0.5000
0.6667 0.3333 0.0000
0.6667 0.3333 0.5000
0.7297 0.0000 0.7500
0.7297 0.7297 0.2500
0.0000 0.3788 0.7500
0.0000 0.6212 0.2500
0.3788 0.0000 0.7500
0.3788 0.3788 0.2500
0.6212 0.0000 0.2500
0.6212 0.6212 0.7500
0.0000 0.0000 0.0000
0.0000 0.0000 0.5000

***

No. 7
Nd4TlGa3 (PBE, relaxed); Fermi-level density of states = 0.52 states/eV/atom; energy of formation = -0.497 eV/atom
1.0
5.2970 0.0000 0.0000
0.0000 5.2970 0.0000
0.0000 0.0000 7.5491
Nd Tl Ga
4 1 3
Direct
0.0000 0.5000 0.2417
0.0000 0.5000 0.7583
0.5000 0.0000 0.2417
0.5000 0.0000 0.7583
0.0000 0.0000 0.5000
0.0000 0.0000 0.0000
0.5000 0.5000 0.0000
0.5000 0.5000 0.5000

***

No. 8
NdTl2Ga (PBE, relaxed); Fermi-level density of states = 0.46 states/eV/atom; energy of formation = -0.341 eV/atom
1.0
4.6526 0.0000 0.0000
0.0000 4.6526 0.0000
0.0000 0.0000 4.7943
Nd Tl Ga
1 2 1
Direct
0.0000 0.0000 0.0000
0.0000 0.5000 0.5000
0.5000 0.0000 0.5000
0.5000 0.5000 0.0000

***

No. 9
Nd7Tl3Ga (PBE, relaxed); Fermi-level density of states = 0.92 states/eV/atom; energy of formation = -0.195 eV/atom
1.0
-2.9452 4.9272 5.9235
2.9452 -4.9272 5.9235
2.9452 4.9272 -5.9235
Nd Tl Ga
7 3 1
Direct
0.0000 0.0000 0.0000
0.0950 0.7632 0.3318
0.3116 0.5000 0.8116
0.4313 0.7632 0.6682
0.5687 0.2368 0.3318
0.6884 0.5000 0.1884
0.9050 0.2368 0.6682
0.2672 0.2672 0.0000
0.5000 0.0000 0.5000
0.7328 0.7328 0.0000
0.0000 0.5000 0.5000

***

No. 10
Nd3TlGa2 (PBE, relaxed); Fermi-level density of states = 0.62 states/eV/atom; energy of formation = -0.498 eV/atom
1.0
3.7416 0.0000 0.0000
0.0000 3.7416 0.0000
0.0000 0.0000 11.4925
Nd Tl Ga
3 1 2
Direct
0.0000 0.0000 0.0000
0.0000 0.0000 0.3171
0.0000 0.0000 0.6829
0.5000 0.5000 0.5000
0.5000 0.5000 0.1596
0.5000 0.5000 0.8404

***

No. 11
Nd5Tl2Ga2 (PBE, relaxed); Fermi-level density of states = 0.87 states/eV/atom; energy of formation = -0.421 eV/atom
1.0
8.3445 -4.0294 0.0000
8.3445 4.0294 0.0000
0.0000 0.0000 7.9538
Nd Tl Ga
10 4 4
Direct
0.0000 0.0000 0.0000
0.0590 0.6797 0.6783
0.1797 0.5590 0.1783
0.3203 0.9410 0.6783
0.4410 0.8203 0.1783
0.5000 0.5000 0.5000
0.5590 0.1797 0.8217
0.6797 0.0590 0.3217
0.8203 0.4410 0.8217
0.9410 0.3203 0.3217
0.2208 0.2208 0.0000
0.2792 0.2792 0.5000
0.7208 0.7208 0.5000
0.7792 0.7792 0.0000
0.1135 0.8865 0.3842
0.3865 0.6135 0.8842
0.6135 0.3865 0.1158
0.8865 0.1135 0.6158

***

No. 12
NdTl2Ga (PBE, relaxed); Fermi-level density of states = 0.56 states/eV/atom; energy of formation = 0.132 eV/atom
1.0
1.7503 1.0105 11.2434
-1.7503 1.0105 11.2434
0.0000 -2.0210 11.2434
Nd Tl Ga
1 2 1
Direct
0.0000 0.0000 0.0000
0.0953 0.0953 0.0953
0.9047 0.9047 0.9047
0.5000 0.5000 0.5000

***

No. 13
Nd5Tl4Ga (PBE, relaxed); Fermi-level density of states = 0.76 states/eV/atom; energy of formation = -0.421 eV/atom
1.0
3.8051 0.0000 0.0000
0.0000 3.8051 0.0000
0.0000 0.0000 19.9578
Nd Tl Ga
5 4 1
Direct
0.0000 0.0000 0.0000
0.0000 0.0000 0.2060
0.0000 0.0000 0.4105
0.0000 0.0000 0.5895
0.0000 0.0000 0.7940
0.5000 0.5000 0.1031
0.5000 0.5000 0.3074
0.5000 0.5000 0.6926
0.5000 0.5000 0.8969
0.5000 0.5000 0.5000

***

No. 14
Nd3TlGa (PBE, relaxed); Fermi-level density of states = 1.13 states/eV/atom; energy of formation = -0.344 eV/atom
1.0
3.5776 -4.8821 0.0000
3.5776 4.8821 0.0000
-3.5753 0.0000 8.4489
Nd Tl Ga
6 2 2
Direct
0.0896 0.7036 0.7930
0.2964 0.9104 0.2070
0.3087 0.3087 0.6177
0.6913 0.6913 0.3823
0.7036 0.0896 0.7930
0.9104 0.2964 0.2070
0.2951 0.2951 0.9997
0.7049 0.7049 0.0003
0.2500 0.7500 0.5000
0.7500 0.2500 0.5000

***

No. 15
Nd5TlGa2 (PBE, relaxed); Fermi-level density of states = 1.07 states/eV/atom; energy of formation = -0.412 eV/atom
1.0
-3.9780 3.9780 7.5075
3.9780 -3.9780 7.5075
3.9780 3.9780 -7.5075
Nd Tl Ga
10 2 4
Direct
0.0000 0.0000 0.0000
0.0258 0.5258 0.8411
0.1848 0.0258 0.5000
0.3152 0.8152 0.8411
0.4742 0.3152 0.5000
0.5000 0.5000 0.0000
0.5258 0.6848 0.5000
0.6848 0.1848 0.1589
0.8152 0.9742 0.5000
0.9742 0.4742 0.1589
0.2500 0.2500 0.0000
0.7500 0.7500 0.0000
0.1191 0.3809 0.5000
0.3809 0.8809 0.2617
0.6191 0.1191 0.7383
0.8809 0.6191 0.5000

***

No. 16
Nd12Tl5Ga2 (PBE, relaxed); Fermi-level density of states = 1.26 states/eV/atom; energy of formation = -0.218 eV/atom
1.0
8.9521 -3.6048 0.0000
8.9521 3.6048 0.0000
-0.6042 0.0000 9.3494
Nd Tl Ga
12 5 2
Direct
0.0098 0.0098 0.3013
0.0880 0.5924 0.0493
0.1003 0.5931 0.4786
0.4069 0.8997 0.5214
0.4076 0.9120 0.9507
0.4685 0.4685 0.8146
0.5315 0.5315 0.1854
0.5924 0.0880 0.0493
0.5931 0.1003 0.4786
0.8997 0.4069 0.5214
0.9120 0.4076 0.9507
0.9902 0.9902 0.6987
0.2100 0.2100 0.2499
0.2768 0.2768 0.7515
0.5000 0.5000 0.5000
0.7232 0.7232 0.2485
0.7900 0.7900 0.7501
0.1698 0.8302 0.0000
0.8302 0.1698 0.0000

***

No. 17
Nd4TlGa2 (PBE, relaxed); Fermi-level density of states = 1.00 states/eV/atom; energy of formation = -0.248 eV/atom
1.0
2.6010 1.5017 9.2468
-2.6010 1.5017 9.2468
0.0000 -3.0033 9.2468
Nd Tl Ga
4 1 2
Direct
0.1184 0.1184 0.1184
0.2946 0.2946 0.2946
0.7054 0.7054 0.7054
0.8816 0.8816 0.8816
0.5000 0.5000 0.5000
0.4016 0.4016 0.4016
0.5984 0.5984 0.5984

***

No. 18
NdY3TlGa (PBE, relaxed); Fermi-level density of states = 1.01 states/eV/atom; energy of formation = -0.276 eV/atom
1.0
7.6551 -3.8081 0.0000
7.6551 3.8081 0.0000
-1.7225 0.0000 6.0702
Nd Y Tl Ga
2 6 2 2
Direct
0.1929 0.8071 0.0000
0.8071 0.1929 0.0000
0.1155 0.6277 0.4194
0.3250 0.3250 0.8960
0.3723 0.8845 0.5806
0.6277 0.1155 0.4194
0.6750 0.6750 0.1040
0.8845 0.3723 0.5806
0.1980 0.1980 0.2199
0.8020 0.8020 0.7801
0.4991 0.4991 0.2857
0.5009 0.5009 0.7143

***

No. 19
NdYTlGa (PBE, relaxed); Fermi-level density of states = 0.47 states/eV/atom; energy of formation = -0.481 eV/atom
1.0
3.6891 0.0000 0.0000
0.0000 3.6891 0.0000
0.0000 0.0000 7.7310
Nd Y Tl Ga
1 1 1 1
Direct
0.0000 0.0000 0.0000
0.0000 0.0000 0.5336
0.5000 0.5000 0.2782
0.5000 0.5000 0.7564

***

No. 20
NdYTlGa (PBE, relaxed); Fermi-level density of states = 0.55 states/eV/atom; energy of formation = -0.449 eV/atom
1.0
0.0000 3.7572 3.7572
3.7572 0.0000 3.7572
3.7572 3.7572 0.0000
Nd Y Tl Ga
1 1 1 1
Direct
0.0000 0.0000 0.0000
0.5000 0.5000 0.5000
0.7500 0.7500 0.7500
0.2500 0.2500 0.2500

***

No. 21
NdTmGa4 (PBE, relaxed); Fermi-level density of states = 0.73 states/eV/atom; energy of formation = -0.530 eV/atom
1.0
0.0000 3.9286 3.9286
3.9286 0.0000 3.9286
3.9286 3.9286 0.0000
Nd Tm Ga
1 1 4
Direct
0.0000 0.0000 0.0000
0.2500 0.2500 0.2500
0.1254 0.6249 0.6249
0.6249 0.1254 0.6249
0.6249 0.6249 0.1254
0.6249 0.6249 0.6249